Sr2BiSe2O2, optimized geometry, DFT PBE; crystal system = monoclinic; space group = C2/m (12); N(E_F) = 2.9 states/eV/cell; E_tot = -35.93 eV/cell
1.0
4.0007 0.0000 0.0000
2.0003 6.4846 0.5800
2.0003 2.1633 6.6447
Sr Bi Se O
2 1 2 2
Direct
0.1958 0.3616 0.2468
0.8042 0.6384 0.7532
0.0000 0.0000 0.0000
0.5467 0.2244 0.6822
0.4533 0.7756 0.3178
0.1907 0.7002 0.9184
0.8093 0.2998 0.0816

Na3TmSc2S6, optimized geometry, DFT PBE; crystal system = monoclinic; space group = C2/m (12); N(E_F) = 0.0 states/eV/cell; E_tot = -67.19 eV/cell
1.0
-5.2624 3.9807 -0.5985
-0.7482 -6.1549 2.3355
2.9879 2.9524 5.6020
Na Tm Sc S
3 1 2 6
Direct
0.1655 0.8345 0.5000
0.8345 0.1655 0.5000
0.5000 0.5000 0.5000
0.0000 0.0000 0.0000
0.3331 0.6669 0.0000
0.6669 0.3331 0.0000
0.9270 0.5845 0.7815
0.7304 0.7304 0.2190
0.0730 0.4155 0.2185
0.5845 0.9270 0.7815
0.2696 0.2696 0.7810
0.4155 0.0730 0.2185

YHo4Sc8, optimized geometry, DFT PBE; crystal system = trigonal; space group = R-3m (166); N(E_F) = 24.8 states/eV/cell; E_tot = -67.69 eV/cell
1.0
-0.1414 5.9483 4.3377
4.4850 -3.3779 4.7636
5.8330 2.7306 -3.5690
Y Ho Sc
1 4 8
Direct
0.5000 0.5000 0.5000
0.5000 0.0000 0.5000
0.0000 0.5000 0.5000
0.5000 0.5000 0.0000
0.0000 0.0000 0.0000
0.2394 0.7597 0.2394
0.7606 0.7606 0.2403
0.7606 0.2403 0.7606
0.2403 0.7606 0.7606
0.7604 0.7604 0.7604
0.2396 0.2396 0.2396
0.7597 0.2394 0.2394
0.2394 0.2394 0.7597

InIr2W, optimized geometry, DFT PBE; crystal system = monoclinic; space group = Cm (8); N(E_F) = 2.8 states/eV/cell; E_tot = -33.24 eV/cell
1.0
4.9672 0.0006 0.0035
4.1323 2.7563 0.0035
0.7921 0.2400 4.7526
In Ir W
1 2 1
Direct
0.2542 0.2542 0.2195
0.0054 0.0054 0.0232
0.7505 0.7505 0.7161
0.4899 0.4899 0.5413